# 1
Here is a geometry-optimized TmCd2In structure from Alexandria via LeMat-Bulk. Energies are from PBE.

```
4
Lattice="-2.638 3.780 0.788 -3.303 -2.630 1.556 1.701 0.322 4.154" Properties=species:S:1:pos:R:3 pbc="T T T"
Cd -1.652 -1.315 0.778
Cd 0.851 0.161 2.077
Tm -2.120 0.736 3.249
In -1.319 1.890 0.394
```

Properties
M_tot = 0.0 μB per cell
excess energy over the best structure of this formula in the dataset = 0 meV per atom
raw total energy = -10.2 eV for the cell shown
formation enthalpy at 0 K = -0.29 eV per atom

# 2
Here is a geometry-optimized Tm4Cd2In5 structure from Alexandria via LeMat-Bulk. Energies are from PBE.

```
11
Lattice="-2.843 -0.233 -2.082 -0.087 -8.262 1.043 -5.725 0.975 7.709" Properties=species:S:1:pos:R:3 pbc="T T T"
In -3.758 -2.974 5.464
In -0.723 -0.866 1.084
In -2.054 -4.313 3.287
In -0.043 -4.131 0.521
In -5.089 -6.421 7.668
Tm -5.024 -5.714 4.504
Tm -3.631 -1.806 2.166
Tm -2.254 -6.394 0.798
Tm -6.401 -1.126 5.872
Cd -3.586 -0.079 4.905
Cd -2.227 -7.208 3.847
```

Properties
M_tot = 0.0 μB per cell
raw total energy = -37.0 eV for the cell shown
formation enthalpy at 0 K = -0.33 eV per atom